[1]
Computed, not measured: crystalline Mg5Cd2Hg12 at its relaxed geometry at the GGA-PBE level of DFT.

Unit cell a=7.7225 b=7.6313 c=8.9830 alpha=64.86 beta=76.26 gamma=90.00
Fractional positions:
Hg 0.8458 0.1342 0.7317
Hg 0.8103 0.5317 0.3710
Hg 0.4693 0.5905 0.2296
Hg 0.4693 0.1799 0.2296
Hg 0.5307 0.8201 0.7704
Hg 0.5307 0.4095 0.7704
Hg 0.7751 0.5116 0.9768
Hg 0.1542 0.8658 0.2683
Hg 0.8103 0.0973 0.3710
Hg 0.2249 0.4884 0.0232
Hg 0.1897 0.4683 0.6290
Hg 0.1897 0.9027 0.6290
Mg 0.4791 0.2209 0.5581
Mg 0.5209 0.7791 0.4419
Mg 0.5000 0.0000 0.0000
Mg 0.1230 0.3025 0.3949
Mg 0.8770 0.6975 0.6051
Cd 0.0000 0.1901 0.0000
Cd 0.0000 0.8099 0.0000

Results
- V (Å³ per cell) = 462.5
- ΔH_f (0 K) (meV per atom) = -64
- space group = C2/m (12)

=====

[2]
Computed, not measured: crystalline MgCd2Hg4 at its relaxed geometry at the GGA-PBE level of DFT.

Unit cell a=4.9137 b=4.9137 c=7.9191 alpha=108.07 beta=108.07 gamma=90.00
Fractional positions:
Cd 0.7492 0.7492 0.4984
Cd 0.2508 0.2508 0.5016
Hg 0.1119 0.6119 0.2239
Hg 0.3881 0.8881 0.7761
Hg 0.8881 0.3881 0.7761
Hg 0.6119 0.1119 0.2239
Mg 0.0000 0.0000 0.0000

Results
- V (Å³ per cell) = 171.8
- ΔH_f (0 K) (meV per atom) = -39
- space group = I4/mmm (139)

=====

[3]
Computed, not measured: crystalline Mg5CdHg at its relaxed geometry at the GGA-PBE level of DFT.

Unit cell a=4.7494 b=4.7494 c=14.2641 alpha=90.01 beta=90.01 gamma=90.02
Fractional positions:
Mg 0.9999 0.5000 0.6125
Mg 0.5000 0.0001 0.6125
Mg 0.0001 0.5000 0.1125
Mg 0.9999 0.5000 0.8875
Mg 0.0000 0.0000 0.2500
Mg 0.5000 0.0001 0.8875
Mg 0.0000 0.0000 0.7500
Mg 0.5000 0.9999 0.3875
Mg 0.0001 0.5000 0.3875
Mg 0.5000 0.9999 0.1125
Hg 0.0000 0.0000 0.0000
Hg 0.0000 0.0000 0.5000
Cd 0.4999 0.5001 0.7500
Cd 0.5001 0.4999 0.2500

Results
- V (Å³ per cell) = 321.8
- ΔH_f (0 K) (meV per atom) = -97
- space group = P4/mmm (123)

=====

[4]
Computed, not measured: crystalline Mg3Cd2Hg4 at its relaxed geometry at the GGA-PBE level of DFT.

Unit cell a=5.4215 b=8.8467 c=8.8467 alpha=76.42 beta=98.40 gamma=98.40
Fractional positions:
Mg 0.5704 0.2847 0.0346
Mg 0.9296 0.9654 0.7153
Mg 0.4296 0.7153 0.9654
Mg 0.2500 0.6207 0.3793
Mg 0.0704 0.0346 0.2847
Mg 0.7500 0.3793 0.6207
Hg 0.6776 0.5071 0.2616
Hg 0.1776 0.2616 0.5071
Hg 0.8224 0.7384 0.4929
Hg 0.3224 0.4929 0.7384
Hg 0.9773 0.8112 0.0692
Hg 0.5227 0.9308 0.1888
Hg 0.0227 0.1888 0.9308
Hg 0.4773 0.0692 0.8112
Cd 0.3703 0.8489 0.5958
Cd 0.8703 0.5958 0.8489
Cd 0.1297 0.4042 0.1511
Cd 0.6297 0.1511 0.4042

Results
- V (Å³ per cell) = 405.3
- ΔH_f (0 K) (meV per atom) = -113
- space group = C2/c (15)

=====

[5]
Computed, not measured: crystalline MgCd8Hg2 at its relaxed geometry at the GGA-PBE level of DFT.

Unit cell a=5.3495 b=7.8552 c=7.9456 alpha=60.38 beta=78.37 gamma=65.94
Fractional positions:
Mg 0.5000 0.0000 0.0000
Cd 0.3015 0.4045 0.0000
Cd 0.6985 0.5955 0.0000
Cd 0.5000 0.7839 0.4321
Cd 0.5000 0.2161 0.5679
Cd 0.1678 0.6814 0.2247
Cd 0.8322 0.0939 0.2247
Cd 0.1678 0.9061 0.7753
Cd 0.8322 0.3186 0.7753
Hg 0.0000 0.3082 0.3835
Hg 0.0000 0.6918 0.6165

Results
- V (Å³ per cell) = 265.0
- ΔH_f (0 K) (meV per atom) = 44
- space group = C2/m (12)

=====

[6]
Computed, not measured: crystalline Mg3CdHg3 at its relaxed geometry at the GGA-PBE level of DFT.

Unit cell a=6.8983 b=6.8983 c=6.6608 alpha=90.02 beta=90.02 gamma=91.69
Fractional positions:
Mg 0.0005 0.0005 0.2470
Mg 0.0013 0.4986 0.2514
Mg 0.5014 0.9987 0.7486
Mg 0.9995 0.9995 0.7530
Mg 0.4986 0.0013 0.2514
Mg 0.9987 0.5014 0.7486
Hg 0.7497 0.7497 0.4980
Hg 0.6971 0.3029 0.5000
Hg 0.3029 0.6971 0.5000
Hg 0.7570 0.2430 0.0000
Hg 0.2430 0.7570 0.0000
Hg 0.2503 0.2503 0.5020
Cd 0.3271 0.3271 0.9981
Cd 0.6729 0.6729 0.0019

Results
- V (Å³ per cell) = 316.8
- ΔH_f (0 K) (meV per atom) = -150
- space group = C2/m (12)

=====

[7]
Computed, not measured: crystalline Mg2CdHg2 at its relaxed geometry at the GGA-PBE level of DFT.

Unit cell a=7.8499 b=7.8499 c=3.6627 alpha=90.00 beta=90.00 gamma=90.00
Fractional positions:
Mg 0.8433 0.3433 0.5000
Mg 0.1567 0.6567 0.5000
Mg 0.3433 0.1567 0.5000
Mg 0.6567 0.8433 0.5000
Hg 0.6434 0.1434 0.0000
Hg 0.8566 0.6434 0.0000
Hg 0.3566 0.8566 0.0000
Hg 0.1434 0.3566 0.0000
Cd 0.0000 0.0000 0.0000
Cd 0.5000 0.5000 0.0000

Results
- V (Å³ per cell) = 225.7
- ΔH_f (0 K) (meV per atom) = -140
- space group = P4/mbm (127)

=====

[8]
Computed, not measured: crystalline MgCd3Hg7 at its relaxed geometry at the GGA-PBE level of DFT.

Unit cell a=7.1841 b=7.1841 c=9.2565 alpha=127.39 beta=127.39 gamma=78.53
Fractional positions:
Hg 0.2039 0.2039 0.9099
Hg 0.9878 0.3277 0.3214
Hg 0.4862 0.4862 0.4559
Hg 0.7326 0.7326 0.9713
Hg 0.6089 0.2468 0.8445
Hg 0.2468 0.6089 0.8445
Hg 0.3277 0.9878 0.3214
Cd 0.1478 0.8050 0.4483
Cd 0.6593 0.6593 0.3187
Cd 0.8050 0.1478 0.4483
Mg 0.9189 0.9189 0.8657

Results
- V (Å³ per cell) = 290.4
- ΔH_f (0 K) (meV per atom) = 6
- space group = Cm (8)

=====

[9]
Computed, not measured: crystalline Mg5CdHg at its relaxed geometry at the GGA-PBE level of DFT.

Unit cell a=8.5812 b=8.5812 c=9.7901 alpha=47.90 beta=47.90 gamma=81.92
Fractional positions:
Mg 0.1334 0.6073 0.6301
Mg 0.1447 0.3675 0.4757
Mg 0.6073 0.1334 0.1301
Mg 0.6325 0.8553 0.0243
Mg 0.8666 0.3927 0.3699
Mg 0.8688 0.1312 0.2500
Mg 0.8553 0.6325 0.5243
Mg 0.1312 0.8688 0.7500
Mg 0.3927 0.8666 0.8699
Mg 0.3675 0.1447 0.9757
Cd 0.6111 0.3889 0.2500
Cd 0.3889 0.6111 0.7500
Hg 0.0000 0.0000 0.5000
Hg 0.0000 0.0000 0.0000

Results
- V (Å³ per cell) = 328.6
- ΔH_f (0 K) (meV per atom) = -34
- space group = C2/c (15)

=====

[10]
Computed, not measured: crystalline Mg2CdHg2 at its relaxed geometry at the GGA-PBE level of DFT.

Unit cell a=4.1831 b=4.1831 c=7.8185 alpha=74.48 beta=74.48 gamma=90.00
Fractional positions:
Mg 0.3989 0.3989 0.2022
Mg 0.6011 0.6011 0.7978
Hg 0.2500 0.7500 0.5000
Hg 0.7500 0.2500 0.5000
Cd 0.0000 0.0000 0.0000

Results
- V (Å³ per cell) = 126.6
- ΔH_f (0 K) (meV per atom) = 17
- space group = I4/mmm (139)

=====

[11]
Computed, not measured: crystalline Mg2Cd2Hg at its relaxed geometry at the GGA-PBE level of DFT.

Unit cell a=6.1360 b=5.8511 c=7.7595 alpha=108.48 beta=90.00 gamma=121.62
Fractional positions:
Mg 0.1857 0.6233 0.8560
Mg 0.5624 0.3767 0.6440
Mg 0.4376 0.6233 0.3560
Mg 0.8143 0.3767 0.1440
Cd 0.2599 0.2054 0.9492
Cd 0.0545 0.7946 0.5508
Cd 0.7401 0.7946 0.0508
Cd 0.9455 0.2054 0.4492
Hg 0.6907 0.0000 0.7500
Hg 0.3093 0.0000 0.2500

Results
- V (Å³ per cell) = 220.2
- ΔH_f (0 K) (meV per atom) = -108
- space group = C2/c (15)

=====

[12]
Computed, not measured: crystalline Mg5Cd2Hg12 at its relaxed geometry at the GGA-PBE level of DFT.

Unit cell a=7.7163 b=8.1628 c=8.3629 alpha=96.10 beta=90.00 gamma=118.21
Fractional positions:
Cd 0.1967 0.0000 0.0000
Cd 0.8033 0.0000 0.0000
Mg 0.6684 0.3368 0.9720
Mg 0.2320 0.4640 0.5400
Mg 0.3316 0.6632 0.0280
Mg 0.0000 0.0000 0.5000
Mg 0.7680 0.5360 0.4600
Hg 0.5175 0.0349 0.2275
Hg 0.5869 0.7799 0.4453
Hg 0.1395 0.2789 0.8358
Hg 0.4131 0.2201 0.5547
Hg 0.3944 0.3841 0.2119
Hg 0.0103 0.6159 0.7881
Hg 0.9897 0.3841 0.2119
Hg 0.1930 0.7799 0.4453
Hg 0.8070 0.2201 0.5547
Hg 0.4825 0.9651 0.7725
Hg 0.8605 0.7211 0.1642
Hg 0.6056 0.6159 0.7881

Results
- V (Å³ per cell) = 460.8
- ΔH_f (0 K) (meV per atom) = -59
- space group = C2/m (12)

=====

[13]
Computed, not measured: crystalline MgCd2Hg at its relaxed geometry at the GGA-PBE level of DFT.

Unit cell a=4.1961 b=3.4052 c=7.1834 alpha=60.75 beta=90.00 gamma=90.00
Fractional positions:
Hg 0.0000 0.4881 0.5130
Mg 0.5000 0.7598 0.7400
Cd 0.5000 0.2542 0.2448
Cd 0.0000 0.9979 0.0022

Results
- V (Å³ per cell) = 89.6
- ΔH_f (0 K) (meV per atom) = -72
- space group = Pm (6)

=====

[14]
Computed, not measured: crystalline MgCd6Hg4 at its relaxed geometry at the GGA-PBE level of DFT.

Unit cell a=9.8574 b=8.4741 c=8.4735 alpha=120.00 beta=90.00 gamma=90.00
Fractional positions:
Cd 0.0590 0.2119 0.4238
Cd 0.0591 0.5762 0.7881
Cd 0.8241 0.4697 0.9394
Cd 0.8240 0.4696 0.5304
Cd 0.0591 0.2119 0.7881
Cd 0.3240 0.5304 0.4696
Cd 0.8240 0.0608 0.5304
Cd 0.5591 0.7881 0.2119
Cd 0.3241 0.5303 0.0606
Cd 0.3240 0.9392 0.4696
Cd 0.5590 0.7881 0.5762
Cd 0.5591 0.4238 0.2119
Hg 0.6607 0.7404 0.8702
Hg 0.6608 0.1298 0.8702
Hg 0.1608 0.8702 0.1298
Hg 0.3100 0.3333 0.6665
Hg 0.8100 0.6667 0.3335
Hg 0.6606 0.1299 0.2598
Hg 0.1608 0.2596 0.1298
Hg 0.1606 0.8701 0.7402
Mg 0.5852 0.3335 0.6671
Mg 0.0852 0.6665 0.3329

Results
- V (Å³ per cell) = 613.0
- ΔH_f (0 K) (meV per atom) = 67
- space group = Cmc2_1 (36)

=====

[15]
Computed, not measured: crystalline Mg3CdHg at its relaxed geometry at the GGA-PBE level of DFT.

Unit cell a=5.2701 b=5.2701 c=5.2701 alpha=90.00 beta=90.00 gamma=90.00
Fractional positions:
Mg 0.0000 0.0000 0.5000
Mg 0.0000 0.5000 0.0000
Mg 0.5000 0.0000 0.0000
Hg 0.0000 0.0000 0.0000
Cd 0.5000 0.5000 0.5000

Results
- V (Å³ per cell) = 146.4
- ΔH_f (0 K) (meV per atom) = 137
- space group = Pm-3m (221)

=====

[16]
Computed, not measured: crystalline Mg14CdHg at its relaxed geometry at the GGA-PBE level of DFT.

Unit cell a=6.4703 b=6.4703 c=8.5785 alpha=90.00 beta=90.00 gamma=89.99
Fractional positions:
Mg 0.1261 0.6239 0.2563
Mg 0.6239 0.6239 0.2563
Mg 0.3750 0.8750 0.5000
Mg 0.1261 0.1261 0.2563
Mg 0.6239 0.1261 0.2563
Mg 0.6239 0.1261 0.7437
Mg 0.1261 0.6239 0.7437
Mg 0.8750 0.3750 0.5000
Mg 0.1261 0.1261 0.7437
Mg 0.8750 0.8750 0.0000
Mg 0.3750 0.3750 0.0000
Mg 0.3750 0.8750 0.0000
Mg 0.6239 0.6239 0.7437
Mg 0.8750 0.3750 0.0000
Hg 0.3750 0.3750 0.5000
Cd 0.8750 0.8750 0.5000

Results
- V (Å³ per cell) = 359.1
- ΔH_f (0 K) (meV per atom) = -47
- space group = P4/mmm (123)

=====

[17]
Computed, not measured: crystalline MgCd4Hg3 at its relaxed geometry at the GGA-PBE level of DFT.

Unit cell a=3.0944 b=5.1447 c=12.7373 alpha=98.49 beta=96.98 gamma=90.00
Fractional positions:
Cd 0.8984 0.8921 0.7968
Cd 0.1016 0.1079 0.2032
Cd 0.2826 0.7903 0.5651
Cd 0.7174 0.2097 0.4349
Mg 0.5000 0.0000 0.0000
Hg 0.0000 0.5000 0.0000
Hg 0.1595 0.6523 0.3190
Hg 0.8405 0.3477 0.6810

Results
- V (Å³ per cell) = 199.0
- ΔH_f (0 K) (meV per atom) = 2
- space group = C2/m (12)

=====

[18]
Computed, not measured: crystalline Mg3Cd2Hg8 at its relaxed geometry at the GGA-PBE level of DFT.

Unit cell a=5.8934 b=8.0384 c=8.0312 alpha=120.03 beta=95.80 gamma=90.00
Fractional positions:
Hg 0.8552 0.1612 0.3224
Hg 0.1448 0.8388 0.6776
Hg 0.0299 0.3737 0.7474
Hg 0.9701 0.6263 0.2526
Hg 0.4550 0.7967 0.2164
Hg 0.5450 0.2033 0.7836
Hg 0.4550 0.4197 0.2164
Hg 0.5450 0.5803 0.7836
Mg 0.0000 0.7937 0.0000
Mg 0.0000 0.2063 0.0000
Mg 0.5000 0.0000 0.0000
Cd 0.3546 0.2130 0.4260
Cd 0.6454 0.7870 0.5740

Results
- V (Å³ per cell) = 327.1
- ΔH_f (0 K) (meV per atom) = -36
- space group = C2/m (12)

=====

[19]
Computed, not measured: crystalline Mg4Cd3Hg4 at its relaxed geometry at the GGA-PBE level of DFT.

Unit cell a=4.4297 b=7.7884 c=8.9727 alpha=115.72 beta=104.29 gamma=90.00
Fractional positions:
Cd 0.8759 0.8759 0.7518
Cd 0.0000 0.5000 0.0000
Cd 0.1241 0.1241 0.2482
Hg 0.5000 0.2002 0.0000
Hg 0.5000 0.7998 0.0000
Hg 0.8060 0.3060 0.6120
Hg 0.1940 0.6940 0.3880
Mg 0.6771 0.9031 0.3542
Mg 0.3229 0.0969 0.6458
Mg 0.6771 0.4510 0.3542
Mg 0.3229 0.5490 0.6458

Results
- V (Å³ per cell) = 268.2
- ΔH_f (0 K) (meV per atom) = -45
- space group = Immm (71)

=====

[20]
Computed, not measured: crystalline Mg8CdHg4 at its relaxed geometry at the GGA-PBE level of DFT.

Unit cell a=6.7437 b=6.7437 c=6.7437 alpha=90.00 beta=90.00 gamma=90.00
Fractional positions:
Mg 0.2415 0.7585 0.7585
Mg 0.7585 0.7585 0.7585
Mg 0.2415 0.7585 0.2415
Mg 0.7585 0.2415 0.2415
Mg 0.2415 0.2415 0.7585
Mg 0.2415 0.2415 0.2415
Mg 0.7585 0.2415 0.7585
Mg 0.7585 0.7585 0.2415
Hg 0.5000 0.5000 0.0000
Hg 0.5000 0.0000 0.5000
Hg 0.0000 0.5000 0.5000
Hg 0.0000 0.0000 0.0000
Cd 0.5000 0.5000 0.5000

Results
- V (Å³ per cell) = 306.7
- ΔH_f (0 K) (meV per atom) = -150
- space group = Pm-3m (221)

=====

Number 1: size of the total moment 0.00 Bohr magnetons per cell. Number 2: size of the total moment 0.00 Bohr magnetons per cell. Number 3: size of the total moment 0.00 Bohr magnetons per cell. Number 4: size of the total moment 0.00 Bohr magnetons per cell. Number 5: size of the total moment 0.00 Bohr magnetons per cell. Number 6: size of the total moment 0.00 Bohr magnetons per cell. Number 7: size of the total moment 0.00 Bohr magnetons per cell. Number 8: size of the total moment 0.00 Bohr magnetons per cell. Number 9: size of the total moment 0.00 Bohr magnetons per cell. Number 10: size of the total moment 0.00 Bohr magnetons per cell. Number 11: size of the total moment 0.00 Bohr magnetons per cell. Number 12: size of the total moment 0.00 Bohr magnetons per cell. Number 13: size of the total moment 0.00 Bohr magnetons per cell. Number 14: size of the total moment 0.00 Bohr magnetons per cell. Number 15: size of the total moment 0.00 Bohr magnetons per cell. Number 16: size of the total moment 0.00 Bohr magnetons per cell. Number 17: size of the total moment 0.00 Bohr magnetons per cell. Number 18: size of the total moment 0.00 Bohr magnetons per cell. Number 19: size of the total moment 0.00 Bohr magnetons per cell. Number 20: size of the total moment 0.00 Bohr magnetons per cell.